No. 1
Compound: BaSrLi2Cd
Source: Alexandria
Functional: PBE-GGA
Structure: optimized geometry

The space group is P4/mmm (No. 123) and the conventional cell measures 5.615, 5.615 and 6.133 Å, with angles of 90.00, 90.00 and 90.00 degrees. The asymmetric unit holds Ba at (0.000, 0.000, 0.000), Sr at (0.500, 0.500, 0.000), Li at (0.000, 0.500, 0.500) and Cd at (0.500, 0.500, 0.500).

The value obtained for the formation energy is 0.3 eV/f.u. The value obtained for the energy relative to the lowest polymorph listed for this composition is 0.127 eV per atom.

No. 2
Compound: Ce2PrGa2Ni2
Source: Alexandria
Functional: PBE-GGA
Structure: optimized geometry

The space group is R-3m (No. 166, hexagonal axes) and the conventional cell measures 4.3380, 4.3380 and 26.4125 Å, with angles of 90.00, 90.00 and 120.00 degrees. The asymmetric unit holds Ce at (0.0000, 0.0000, 0.1395), Pr at (0.0000, 0.0000, 0.0000), Ga at (0.0000, 0.0000, 0.2599) and Ni at (0.0000, 0.0000, 0.4236).

The value obtained for the formation energy is -3.4 eV/f.u.

No. 3
Compound: MoSe
Source: Alexandria
Functional: PBE-GGA
Structure: optimized geometry

The space group is C2/m (No. 12) and the conventional cell measures 8.900, 3.218 and 4.702 Å, with angles of 90.00, 103.81 and 90.00 degrees. The asymmetric unit holds Mo at (0.115, 0.000, 0.318) and Se at (0.118, 0.500, 0.809).

The value obtained for the energy relative to the lowest polymorph listed for this composition is 0.336 eV per atom. The formation energy (no corrections) is 1.299 kcal/mol of atoms.

No. 4
Compound: Sm8CoGe3Br4
Source: Alexandria
Functional: PBE-GGA
Structure: optimized geometry

The space group is C2/m (No. 12) and the conventional cell measures 14.626, 8.440 and 8.730 Å, with angles of 90.00, 123.95 and 90.00 degrees. The asymmetric unit holds Sm at (0.010, 0.234, 0.297), Sm at (0.225, 0.000, 0.704), Sm at (0.239, 0.500, 0.716), Co at (0.000, 0.000, 0.500), Ge at (0.000, 0.500, 0.500), Ge at (0.250, 0.250, 0.500), Br at (0.000, 0.000, 0.000), Br at (0.000, 0.500, 0.000) and Br at (0.250, 0.250, 0.000).

The formation energy (no corrections) is -23.236 kcal/mol of atoms.

No. 5
Compound: Er4TlCo
Source: Alexandria
Functional: PBE-GGA
Structure: optimized geometry

The space group is F-43m (No. 216) and the conventional cell measures 13.396, 13.396 and 13.396 Å, with angles of 90.00, 90.00 and 90.00 degrees. The asymmetric unit holds Er at (0.000, 0.000, 0.188), Er at (0.059, 0.250, 0.750), Er at (0.153, 0.153, 0.347), Tl at (0.086, 0.086, 0.586) and Co at (0.141, 0.141, 0.141).

The value obtained for the formation energy is -1.6 eV/f.u. The value obtained for the energy relative to the lowest polymorph listed for this composition is 0.000 eV per atom.

No. 6
Compound: CdSi2PS
Source: Alexandria
Functional: PBE-GGA
Structure: optimized geometry

The space group is P4/mmm (No. 123) and the conventional cell measures 4.589, 4.589 and 5.101 Å, with angles of 90.00, 90.00 and 90.00 degrees. The asymmetric unit holds Cd at (0.000, 0.000, 0.000), Si at (0.000, 0.500, 0.500), P at (0.000, 0.000, 0.500) and S at (0.500, 0.500, 0.000).

The formation energy (no corrections) is 17.371 kcal/mol of atoms.

No. 7
Compound: MoPOsCl2
Source: Alexandria
Functional: PBE-GGA
Structure: optimized geometry

The space group is P4/mmm (No. 123) and the conventional cell measures 4.628, 4.628 and 4.984 Å, with angles of 90.00, 90.00 and 90.00 degrees. The asymmetric unit holds Mo at (0.000, 0.000, 0.000), P at (0.000, 0.000, 0.500), Os at (0.500, 0.500, 0.500) and Cl at (0.000, 0.500, 0.000).

The value obtained for the energy relative to the lowest polymorph listed for this composition is 0.250 eV per atom. The formation energy (no corrections) is 29.487 kcal/mol of atoms.

No. 8
Compound: Sm2InPb
Source: Alexandria
Functional: PBE-GGA
Structure: optimized geometry

The space group is Amm2 (No. 38) and the conventional cell measures 4.420, 4.682 and 11.758 Å, with angles of 90.00, 90.00 and 90.00 degrees. The asymmetric unit holds Sm at (0.000, 0.000, 0.000), Sm at (0.500, 0.000, 0.271), In at (0.500, 0.000, 0.545) and Pb at (0.000, 0.000, 0.723).

The value obtained for the formation energy is -2.1 eV/f.u.

No. 9
Compound: SbPt3Br
Source: Alexandria
Functional: PBE-GGA
Structure: optimized geometry

The space group is Pm-3m (No. 221) and the conventional cell measures 5.024, 5.024 and 5.024 Å, with angles of 90.00, 90.00 and 90.00 degrees. The asymmetric unit holds Sb at (0.000, 0.000, 0.000), Pt at (0.000, 0.000, 0.500) and Br at (0.500, 0.500, 0.500).

The value obtained for the energy relative to the lowest polymorph listed for this composition is 0.000 eV per atom. The formation energy (no corrections) is 21.029 kcal/mol of atoms.

No. 10
Compound: Tl5Au4
Source: Alexandria
Functional: PBE-GGA
Structure: optimized geometry

The space group is P6_3/mcm (No. 193) and the conventional cell measures 8.7892, 8.7892 and 6.8911 Å, with angles of 90.00, 90.00 and 120.00 degrees. The asymmetric unit holds Tl at (0.0000, 0.2764, 0.2500), Tl at (0.3333, 0.6667, 0.0000), Au at (0.0000, 0.0000, 0.0000) and Au at (0.0000, 0.3869, 0.7500).

The value obtained for the formation energy is 0.3 eV/f.u. The value obtained for the energy relative to the lowest polymorph listed for this composition is 0.051 eV per atom.

No. 11
Compound: Ba2CaRe
Source: Alexandria
Functional: PBE-GGA
Structure: optimized geometry

The space group is Imm2 (No. 44) and the conventional cell measures 3.677, 5.989 and 14.012 Å, with angles of 90.00, 90.00 and 90.00 degrees. The asymmetric unit holds Ba at (0.000, 0.000, 0.000), Ba at (0.000, 0.500, 0.179), Ca at (0.000, 0.500, 0.833) and Re at (0.000, 0.000, 0.500).

The value obtained for the formation energy is 3.3 eV/f.u. The value obtained for the energy relative to the lowest polymorph listed for this composition is 0.045 eV per atom.

No. 12
Compound: Co2CuSb
Source: Alexandria
Functional: PBE-GGA
Structure: optimized geometry

The space group is I-4m2 (No. 119) and the conventional cell measures 3.747, 3.747 and 7.661 Å, with angles of 90.00, 90.00 and 90.00 degrees. The asymmetric unit holds Co at (0.000, 0.000, 0.000), Co at (0.000, 0.500, 0.250), Cu at (0.000, 0.500, 0.750) and Sb at (0.000, 0.000, 0.500).

The formation energy (no corrections) is 3.774 kcal/mol of atoms.

No. 13
Compound: YScMn2
Source: Alexandria
Functional: PBE-GGA
Structure: optimized geometry

The space group is Cmmm (No. 65) and the conventional cell measures 6.887, 6.920 and 3.349 Å, with angles of 90.00, 90.00 and 90.00 degrees. The asymmetric unit holds Y at (0.000, 0.000, 0.000), Sc at (0.000, 0.500, 0.000) and Mn at (0.250, 0.250, 0.500).

The value obtained for the formation energy is 0.8 eV/f.u.

No. 14
Compound: CeNp2Se5
Source: Alexandria
Functional: PBE-GGA
Structure: optimized geometry

The space group is Pnma (No. 62) and the conventional cell measures 12.292, 8.330 and 7.764 Å, with angles of 90.00, 90.00 and 90.00 degrees. The asymmetric unit holds Ce at (0.009, 0.250, 0.082), Np at (0.180, 0.001, 0.516), Se at (0.001, 0.750, 0.532), Se at (0.102, 0.549, 0.164), Se at (0.187, 0.250, 0.824) and Se at (0.220, 0.750, 0.793).

The formation energy (no corrections) is -30.985 kcal/mol of atoms.

No. 15
Compound: Cs3Rb5Na2
Source: Alexandria
Functional: PBE-GGA
Structure: optimized geometry

The space group is Ibam (No. 72) and the conventional cell measures 16.600, 22.814 and 9.403 Å, with angles of 90.00, 90.00 and 90.00 degrees. The asymmetric unit holds Cs at (0.000, 0.000, 0.250), Cs at (0.215, 0.174, 0.000), Rb at (0.000, 0.305, 0.250), Rb at (0.000, 0.500, 0.250), Rb at (0.230, 0.434, 0.000) and Na at (0.066, 0.164, 0.500).

The value obtained for the formation energy is 0.4 eV/f.u. The value obtained for the energy relative to the lowest polymorph listed for this composition is 0.018 eV per atom.

No. 16
Compound: Zr2PtF
Source: Alexandria
Functional: PBE-GGA
Structure: optimized geometry

The space group is Fm-3m (No. 225) and the conventional cell measures 6.556, 6.556 and 6.556 Å, with angles of 90.00, 90.00 and 90.00 degrees. The asymmetric unit holds Zr at (0.250, 0.250, 0.250), Pt at (0.000, 0.000, 0.000) and F at (0.000, 0.000, 0.500).

The value obtained for the energy relative to the lowest polymorph listed for this composition is 0.000 eV per atom. The formation energy (no corrections) is -26.277 kcal/mol of atoms.

No. 17
Compound: TaAsPt2
Source: Alexandria
Functional: PBE-GGA
Structure: optimized geometry

The space group is P4/mmm (No. 123) and the conventional cell measures 4.915, 4.915 and 2.832 Å, with angles of 90.00, 90.00 and 90.00 degrees. The asymmetric unit holds Ta at (0.000, 0.000, 0.000), As at (0.500, 0.500, 0.000) and Pt at (0.000, 0.500, 0.500).

The value obtained for the formation energy is -0.6 eV/f.u.

No. 18
Compound: Zr2Be2Ag
Source: Alexandria
Functional: PBE-GGA
Structure: optimized geometry

The space group is Cmmm (No. 65) and the conventional cell measures 3.801, 12.744 and 3.344 Å, with angles of 90.00, 90.00 and 90.00 degrees. The asymmetric unit holds Zr at (0.000, 0.136, 0.000), Be at (0.000, 0.296, 0.500) and Ag at (0.000, 0.500, 0.500).

The value obtained for the formation energy is -0.7 eV/f.u. The value obtained for the energy relative to the lowest polymorph listed for this composition is 0.009 eV per atom.

No. 19
Compound: DyTmI3
Source: Alexandria
Functional: PBE-GGA
Structure: optimized geometry

The space group is C2/m (No. 12) and the conventional cell measures 19.860, 4.033 and 12.203 Å, with angles of 90.00, 125.41 and 90.00 degrees. The asymmetric unit holds Dy at (0.129, 0.000, 0.273), Tm at (0.065, 0.500, 0.963), I at (0.034, 0.000, 0.746), I at (0.167, 0.500, 0.502) and I at (0.211, 0.000, 0.121).

The formation energy (no corrections) is -24.349 kcal/mol of atoms.

No. 20
Compound: LaSb3
Source: Alexandria
Functional: PBE-GGA
Structure: optimized geometry

The space group is C2/m (No. 12) and the conventional cell measures 10.001, 8.535 and 6.060 Å, with angles of 90.00, 109.66 and 90.00 degrees. The asymmetric unit holds La at (0.174, 0.000, 0.310), Sb at (0.015, 0.500, 0.247) and Sb at (0.133, 0.195, 0.776).

The formation energy (no corrections) is -14.117 kcal/mol of atoms.

No. 21
Compound: CaMoIr2
Source: Alexandria
Functional: PBE-GGA
Structure: optimized geometry

The space group is Cm (No. 8) and the conventional cell measures 10.570, 2.818 and 4.819 Å, with angles of 90.00, 105.97 and 90.00 degrees. The asymmetric unit holds Ca at (0.000, 0.000, 0.000), Mo at (0.297, 0.500, 0.364), Ir at (0.022, 0.500, 0.507) and Ir at (0.236, 0.000, 0.826).

The value obtained for the formation energy is 0.1 eV/f.u. The value obtained for the energy relative to the lowest polymorph listed for this composition is 0.187 eV per atom.

No. 22
Compound: Ta2MnW
Source: Alexandria
Functional: PBE-GGA
Structure: optimized geometry

The space group is Pmma (No. 51) and the conventional cell measures 4.497, 3.159 and 8.915 Å, with angles of 90.00, 90.00 and 90.00 degrees. The asymmetric unit holds Ta at (0.250, 0.000, 0.115), Ta at (0.250, 0.000, 0.634), Mn at (0.250, 0.500, 0.880) and W at (0.250, 0.500, 0.371).

The value obtained for the formation energy is -0.5 eV/f.u.

No. 23
Compound: NaEr2H
Source: Alexandria
Functional: PBE-GGA
Structure: optimized geometry

The space group is R-3m (No. 166, hexagonal axes) and the conventional cell measures 3.4981, 3.4981 and 28.5166 Å, with angles of 90.00, 90.00 and 120.00 degrees. The asymmetric unit holds Na at (0.0000, 0.0000, 0.0000), Er at (0.0000, 0.0000, 0.1208) and H at (0.0000, 0.0000, 0.5000).

The total energy comes out at -3.468 eV/atom.